No. 1
4
Lattice="4.916 0.000 0.000 2.458 4.258 0.000 2.458 1.419 4.014" Properties=species:S:1:pos:R:3 comment="HfTlSe2 SCAN single point on PBEsol structure" final_energy_ev_per_atom=-44.140 n_ef_per_ev_cell=2.76 space_group=Fm-3m e_form_raw_ev_per_atom=-0.343 pbc="T T T"
Tl 4.916 2.838 2.007
Hf 0.000 0.000 0.000
Se 2.458 1.419 1.004
Se 7.375 4.258 3.011

No. 2
28
Lattice="8.572 0.000 0.000 0.000 8.616 0.000 0.000 -4.308 7.462" Properties=species:S:1:pos:R:3 comment="Hf9W4Se SCAN single point on PBEsol structure" final_energy_ev_per_atom=-61.877 n_ef_per_ev_cell=18.86 space_group=P6_3/mmc e_form_raw_ev_per_atom=-0.243 pbc="T T T"
Hf 0.404 -1.796 6.011
Hf 0.404 1.796 6.011
Hf 0.404 0.000 2.901
Hf 8.168 6.104 1.450
Hf 8.168 2.512 1.450
Hf 8.168 4.308 4.561
Hf 4.690 6.104 1.450
Hf 4.690 2.512 1.450
Hf 4.690 4.308 4.561
Hf 3.882 -1.796 6.011
Hf 3.882 1.796 6.011
Hf 3.882 0.000 2.901
Hf 2.143 2.699 3.416
Hf 2.143 5.917 3.416
Hf 2.143 4.308 0.630
Hf 6.429 1.609 4.046
Hf 6.429 -1.609 4.046
Hf 6.429 0.000 6.832
W 2.143 7.193 0.822
W 2.143 1.424 0.822
W 2.143 4.308 5.818
W 6.429 -2.884 6.640
W 6.429 2.884 6.640
W 6.429 0.000 1.644
W 0.000 0.000 0.000
W 4.286 0.000 0.000
Se 2.143 0.000 4.974
Se 6.429 4.308 2.487

No. 3
4
Lattice="-1.171 0.323 3.558 2.455 -0.350 2.826 1.944 8.448 1.858" Properties=species:S:1:pos:R:3 comment="YHfSe2 SCAN single point on PBEsol structure" final_energy_ev_per_atom=-33.698 n_ef_per_ev_cell=2.22 space_group=R-3m e_form_raw_ev_per_atom=-1.030 pbc="T T T"
Y 1.614 4.211 4.121
Hf 0.000 0.000 0.000
Se 1.735 2.487 6.303
Se 1.494 5.934 1.938

No. 4
5
Lattice="-1.055 4.879 0.684 -4.275 -1.254 2.354 2.450 -0.087 4.402" Properties=species:S:1:pos:R:3 comment="Hf3ZrSe SCAN single point on PBEsol structure" final_energy_ev_per_atom=-46.525 n_ef_per_ev_cell=5.74 space_group=Pm-3m e_form_raw_ev_per_atom=1.234 pbc="T T T"
Hf -2.137 -0.627 1.177
Hf 1.225 -0.044 2.201
Hf -0.527 2.440 0.342
Se -1.440 1.769 3.720
Zr 0.000 0.000 0.000

No. 5
4
Lattice="-1.871 -2.253 1.883 1.570 -2.021 2.361 -1.357 4.693 7.485" Properties=species:S:1:pos:R:3 comment="HfZrSe2 SCAN single point on PBEsol structure" final_energy_ev_per_atom=-34.182 n_ef_per_ev_cell=3.42 space_group=R-3m e_form_raw_ev_per_atom=-0.800 pbc="T T T"
Hf -0.829 0.210 5.865
Se -0.682 -2.419 6.085
Se -0.976 2.839 5.645
Zr 0.000 0.000 0.000

No. 6
6
Lattice="5.136 0.000 0.000 2.568 4.600 0.000 2.568 0.000 4.600" Properties=species:S:1:pos:R:3 comment="Hf2Si SCAN single point on PBEsol structure" final_energy_ev_per_atom=-45.868 n_ef_per_ev_cell=2.33 space_group=I4/mcm e_form_raw_ev_per_atom=-0.748 pbc="T T T"
Si 1.284 0.000 0.000
Si 3.852 0.000 0.000
Hf 7.704 2.300 3.741
Hf 5.136 0.859 2.300
Hf 2.568 2.300 0.859
Hf 5.136 3.741 2.300

No. 7
8
Lattice="3.759 0.000 0.000 0.000 5.197 0.000 0.000 0.000 6.821" Properties=species:S:1:pos:R:3 comment="HfSi SCAN single point on PBEsol structure" final_energy_ev_per_atom=-37.156 n_ef_per_ev_cell=1.56 space_group=Pnma e_form_raw_ev_per_atom=-0.812 pbc="T T T"
Si 0.940 4.469 3.703
Si 2.819 0.728 3.118
Si 2.819 1.870 6.529
Si 0.940 3.327 0.292
Hf 0.940 1.942 4.608
Hf 2.819 3.255 2.212
Hf 2.819 4.541 5.623
Hf 0.940 0.656 1.198

No. 8
5
Lattice="4.834 0.000 0.000 0.000 5.932 0.000 0.000 0.000 5.932" Properties=species:S:1:pos:R:3 comment="Sr2HfTaSi SCAN single point on PBEsol structure" final_energy_ev_per_atom=-35.258 n_ef_per_ev_cell=4.68 space_group=P4/mmm e_form_raw_ev_per_atom=1.507 pbc="T T T"
Sr 0.000 0.000 2.966
Sr 0.000 2.966 0.000
Si 2.417 2.966 2.966
Hf 0.000 0.000 0.000
Ta 2.417 0.000 0.000

No. 9
36
Lattice="7.215 0.000 0.000 0.000 7.215 0.000 0.000 0.000 13.241" Properties=species:S:1:pos:R:3 comment="Tb2Hf3Si4 SCAN single point on PBEsol structure" final_energy_ev_per_atom=-36.576 n_ef_per_ev_cell=22.76 space_group=P4_12_12 e_form_raw_ev_per_atom=-0.842 pbc="T T T"
Tb 7.181 2.479 2.846
Tb 0.035 4.737 9.467
Tb 1.129 3.573 6.157
Tb 3.642 6.086 0.464
Tb 6.086 3.642 12.777
Tb 3.573 1.129 7.084
Tb 2.479 7.181 10.394
Tb 4.737 0.035 3.774
Hf 1.261 1.261 0.000
Hf 5.954 5.954 6.620
Hf 2.346 4.869 3.310
Hf 4.869 2.346 9.930
Hf 1.069 7.191 4.950
Hf 6.146 0.024 11.570
Hf 3.632 4.676 8.260
Hf 2.539 3.584 11.601
Hf 3.584 2.539 1.640
Hf 4.676 3.632 4.981
Hf 7.191 1.069 8.291
Hf 0.024 6.146 1.670
Si 2.605 2.133 4.192
Si 4.610 5.082 10.812
Si 1.474 6.212 7.502
Si 1.003 5.741 12.359
Si 5.741 1.003 0.882
Si 6.212 1.474 5.738
Si 2.133 2.605 9.049
Si 5.082 4.610 2.428
Si 2.137 0.352 2.455
Si 5.079 6.863 9.076
Si 3.256 5.744 5.765
Si 1.471 3.960 0.855
Si 3.960 1.471 12.386
Si 5.744 3.256 7.475
Si 0.352 2.137 10.785
Si 6.863 5.079 4.165

No. 10
10
Lattice="-0.187 -2.153 -3.185 3.526 -4.564 2.878 -5.387 -2.778 2.194" Properties=species:S:1:pos:R:3 comment="Hf2Si2Tc SCAN single point on PBEsol structure" final_energy_ev_per_atom=-36.922 n_ef_per_ev_cell=4.61 space_group=P4/mbm e_form_raw_ev_per_atom=-0.834 pbc="T T T"
Si -3.379 -4.095 2.967
Si -0.339 -5.718 3.885
Si 1.519 -3.247 2.106
Si -1.522 -1.624 1.187
Hf -3.108 -3.730 0.379
Hf -2.181 -6.444 2.159
Hf 1.060 -5.764 1.509
Hf 0.134 -3.051 -0.271
Tc 0.000 0.000 0.000
Tc -0.930 -3.671 2.536

No. 11
8
Lattice="-1.406 -5.898 0.240 5.707 -1.422 -1.496 -0.595 3.536 6.681" Properties=species:S:1:pos:R:3 comment="Hf2SiTe SCAN single point on PBEsol structure" final_energy_ev_per_atom=-42.972 n_ef_per_ev_cell=4.48 de_polymorph_ev_per_fu=1.72 space_group=I-42d e_form_raw_ev_per_atom=0.181 pbc="T T T"
Si 0.075 -3.011 3.147
Si 2.150 -3.660 -0.628
Te 3.631 -0.773 2.279
Te 0.000 0.000 0.000
Hf 4.258 -2.820 0.462
Hf 0.820 -4.562 1.310
Hf 0.331 1.677 4.791
Hf 2.002 -1.863 4.289

No. 12
4
Lattice="-0.687 3.333 1.426 -0.241 0.428 3.657 8.341 2.875 2.074" Properties=species:S:1:pos:R:3 comment="HfSiTe2 SCAN single point on PBEsol structure" final_energy_ev_per_atom=-36.382 n_ef_per_ev_cell=2.77 space_group=R-3m e_form_raw_ev_per_atom=0.416 pbc="T T T"
Si 3.707 3.319 3.578
Te 1.786 4.271 5.202
Te 5.627 2.367 1.955
Hf 0.000 0.000 0.000

Q: What is the formula in the third record?
A: YHfSe2